CuHgI6 after structural relaxation. Source: Alexandria, functional GGA-PBE.

The structure in POSCAR format:
```
CuHgI6
1.0
7.868 -0.188 0.013
3.726 8.952 -1.005
3.912 1.783 5.638
I Cu Hg
6 1 1
direct
0.867 0.068 0.700 I
0.654 0.179 0.170 I
0.133 0.932 0.300 I
0.821 0.623 0.293 I
0.346 0.821 0.830 I
0.179 0.377 0.707 I
0.000 0.000 0.000 Cu
0.500 0.500 0.500 Hg
```

Properties
The space group is P-1, No. 2. The calculation puts the uncorrected formation energy at -70 kJ/mol of formula units. The total magnetic moment is 0.00 μB per cell.